# 1
## LiDyCr2O8 (GGA+U)

Data for a geometry-optimized LiDyCr2O8 structure.

abc: 7.141 7.141 6.195
angles: 90.00 90.00 90.00
Space group I-4m2 (No. 119)
One atom of each set of equivalent atoms:
Li  0.000  0.000  0.000 x2
Dy  0.000  0.500  0.250 x2
Cr  0.000  0.000  0.500 x2
Cr  0.000  0.500  0.750 x2
O  0.000  0.187  0.341 x8
O  0.000  0.318  0.918 x8

## Properties
For the total DFT energy (no corrections), the calculation gives -6.962 eV per atom. The total magnetic moment is 0.0 Bohr magnetons per cell.

***

# 2
## Rb3CrF7 (GGA+U)

Data for a geometry-optimized Rb3CrF7 structure.

abc: 8.203 8.203 6.027
angles: 90.00 90.00 90.00
Space group P4/mbm (No. 127)
One atom of each set of equivalent atoms:
Rb  0.000  0.000  0.000 x2
Rb  0.191  0.309  0.500 x4
Cr  0.000  0.500  0.000 x2
F  0.000  0.000  0.500 x2
F  0.112  0.612  0.222 x8
F  0.159  0.341  0.000 x4

## Properties
As for the energy above the most stable polymorph in this dataset: 0 kJ/mol of formula units. The total magnetic moment is 3.8 Bohr magnetons per cell.